[1]
Here is a relaxed structure of Sc2Re3Os from the Alexandria database. Energies are from PBE.

Output
ΔE_f ... -0.309 eV per atom

Unit cell a=5.204 b=5.204 c=5.341 alpha=119.24 beta=119.24 gamma=59.99
Fractional positions:
1 Sc 0.126 0.126 0.378
2 Sc 0.874 0.874 0.622
3 Re 0.000 0.500 0.000
4 Re 0.500 0.000 0.000
5 Re 0.500 0.500 0.000
6 Os 0.500 0.500 0.500

[2]
Here is a relaxed structure of Sc2ReOs from the Alexandria database. Energies are from PBE.

Output
ΔE_f ... -0.048 eV per atom

Unit cell a=3.178 b=4.398 c=4.795 alpha=90.00 beta=90.00 gamma=90.00
Fractional positions:
1 Sc 0.000 0.000 0.000
2 Sc 0.500 0.000 0.500
3 Re 0.000 0.500 0.500
4 Os 0.500 0.500 0.000

[3]
Here is a relaxed structure of ScRe4Os from the Alexandria database. Energies are from PBE.

Output
ΔE_f ... 0.164 eV per atom

Unit cell a=5.181 b=5.181 c=5.181 alpha=60.00 beta=60.00 gamma=60.00
Fractional positions:
1 Sc 0.000 0.000 0.000
2 Re 0.374 0.374 0.374
3 Re 0.374 0.374 0.879
4 Re 0.374 0.879 0.374
5 Re 0.879 0.374 0.374
6 Os 0.750 0.750 0.750

[4]
Here is a relaxed structure of ScReOs from the Alexandria database. Energies are from PBE.

Output
ΔE_f ... -0.188 eV per atom
E above lowest polymorph ... 0.182 eV/atom

Unit cell a=5.340 b=5.340 c=6.812 alpha=126.91 beta=126.91 gamma=47.34
Fractional positions:
1 Sc 0.065 0.065 0.314
2 Sc 0.935 0.935 0.686
3 Re 0.341 0.341 0.925
4 Re 0.659 0.659 0.075
5 Os 0.335 0.335 0.283
6 Os 0.665 0.665 0.717

[5]
Here is a relaxed structure of Sc2ReOs from the Alexandria database. Energies are from PBE.

Output
ΔE_f ... -0.038 eV per atom

Unit cell a=5.253 b=5.253 c=5.253 alpha=144.62 beta=125.99 gamma=66.23
Fractional positions:
1 Sc 0.248 0.248 0.000
2 Sc 0.752 0.752 0.000
3 Re 0.500 0.000 0.500
4 Os 0.000 0.500 0.500

[6]
Here is a relaxed structure of ScRe2Os from the Alexandria database. Energies are from PBE.

Output
ΔE_f ... 0.165 eV per atom
E above lowest polymorph ... 0.205 eV/atom

Unit cell a=9.197 b=9.197 c=9.197 alpha=17.82 beta=17.82 gamma=17.82
Fractional positions:
1 Sc 0.000 0.000 0.000
2 Re 0.245 0.245 0.245
3 Re 0.499 0.499 0.499
4 Os 0.753 0.753 0.753

[7]
Here is a relaxed structure of ScRe2Os from the Alexandria database. Energies are from PBE.

Output
ΔE_f ... 0.044 eV per atom
E above lowest polymorph ... 0.084 eV/atom

Unit cell a=5.264 b=5.264 c=4.542 alpha=115.48 beta=115.48 gamma=34.01
Fractional positions:
1 Sc 0.000 0.000 0.000
2 Re 0.496 0.496 0.496
3 Re 0.760 0.760 0.260
4 Os 0.242 0.242 0.743

[8]
Here is a relaxed structure of ScRe2Os from the Alexandria database. Energies are from PBE.

Output
ΔE_f ... 0.031 eV per atom
E above lowest polymorph ... 0.071 eV/atom

Unit cell a=5.203 b=5.203 c=4.641 alpha=105.43 beta=105.43 gamma=32.23
Fractional positions:
1 Sc 0.000 0.000 0.000
2 Re 0.228 0.228 0.723
3 Re 0.772 0.772 0.277
4 Os 0.500 0.500 0.500

[9]
Here is a relaxed structure of Sc2ReOs from the Alexandria database. Energies are from PBE.

Output
ΔE_f ... -0.048 eV per atom

Unit cell a=2.868 b=2.868 c=8.771 alpha=90.00 beta=90.00 gamma=111.53
Fractional positions:
1 Sc 0.000 0.000 0.244
2 Sc 0.000 0.000 0.756
3 Re 0.500 0.500 0.500
4 Os 0.500 0.500 0.000

[10]
Here is a relaxed structure of ScRe3Os from the Alexandria database. Energies are from PBE.

Output
ΔE_f ... 1.586 eV per atom
E above lowest polymorph ... 0.000 eV/atom

Unit cell a=4.717 b=4.717 c=4.717 alpha=90.00 beta=90.00 gamma=90.00
Fractional positions:
1 Sc 0.000 0.000 0.000
2 Re 0.000 0.500 0.500
3 Re 0.500 0.000 0.500
4 Re 0.500 0.500 0.000
5 Os 0.500 0.500 0.500

[11]
Here is a relaxed structure of ScRe2Os from the Alexandria database. Energies are from PBE.

Output
ΔE_f ... 0.198 eV per atom
E above lowest polymorph ... 0.238 eV/atom

Unit cell a=2.792 b=3.977 c=5.764 alpha=90.00 beta=90.00 gamma=90.00
Fractional positions:
1 Sc 0.000 0.000 0.000
2 Re 0.500 0.500 0.271
3 Re 0.500 0.500 0.729
4 Os 0.000 0.000 0.500

[12]
Here is a relaxed structure of ScRe2Os from the Alexandria database. Energies are from PBE.

Output
ΔE_f ... 0.161 eV per atom
E above lowest polymorph ... 0.201 eV/atom

Unit cell a=5.164 b=5.164 c=5.164 alpha=136.85 beta=136.85 gamma=62.67
Fractional positions:
1 Sc 0.000 0.000 0.000
2 Re 0.250 0.750 0.500
3 Re 0.750 0.250 0.500
4 Os 0.500 0.500 0.000

- ΔE_f of number 9 (Sc2ReOs)?
  -0.048 eV per atom